Model i:
The following is a PBE-GGA calculation of a relaxed NiRhBr2 crystal, from the Alexandria database.

Results
Fermi-level density of states: 5.1 states/eV/f.u.
Calculated volume: 188.5 Å³ per cell

Structure (CIF):
```
data_NiRhBr2
_chemical_formula_sum 'Ni2 Rh2 Br4'
_symmetry_space_group_name_H-M 'C m m 2'
_symmetry_Int_Tables_number 35
_cell_length_a 3.891
_cell_length_b 6.084
_cell_length_c 7.964
_cell_angle_alpha 90.00
_cell_angle_beta 90.00
_cell_angle_gamma 90.00
loop_
_symmetry_equiv_pos_as_xyz
'x,y,z'
'-x,-y,z'
'-x,y,z'
'x,-y,z'
'x+1/2,y+1/2,z'
'-x+1/2,-y+1/2,z'
'-x+1/2,y+1/2,z'
'x+1/2,-y+1/2,z'
loop_
_atom_site_label
_atom_site_type_symbol
_atom_site_fract_x
_atom_site_fract_y
_atom_site_fract_z
_atom_site_occupancy
Ni1 Ni 0.000 0.000 0.000 1
Rh1 Rh 0.000 0.500 0.834 1
Br1 Br 0.000 0.000 0.623 1
Br2 Br 0.000 0.500 0.175 1
```

Model ii:
The following is a PBE-GGA calculation of a relaxed NiRhBr2 crystal, from the Alexandria database.

Results
Fermi-level density of states: 7.3 states/eV/f.u.
Calculated volume: 163.6 Å³ per cell

Structure (CIF):
```
data_NiRhBr2
_chemical_formula_sum 'Ni2 Rh2 Br4'
_symmetry_space_group_name_H-M 'I m m m'
_symmetry_Int_Tables_number 71
_symmetry_space_group_name_Hall '-I 2 2'
_cell_length_a 3.419
_cell_length_b 6.477
_cell_length_c 7.385
_cell_angle_alpha 90.00
_cell_angle_beta 90.00
_cell_angle_gamma 90.00
loop_
_atom_site_label
_atom_site_type_symbol
_atom_site_fract_x
_atom_site_fract_y
_atom_site_fract_z
_atom_site_occupancy
Ni1 Ni 0.000 0.000 0.000 1
Rh1 Rh 0.000 0.000 0.500 1
Br1 Br 0.000 0.500 0.262 1
```

Model iii:
The following is a PBE-GGA calculation of a relaxed NiRhBr2 crystal, from the Alexandria database.

Results
Fermi-level density of states: 3.2 states/eV/f.u.
Calculated volume: 270.5 Å³ per cell

Structure (CIF):
```
data_NiRhBr2
_chemical_formula_sum 'Ni3 Rh3 Br6'
_symmetry_space_group_name_H-M 'R 3 m'
_symmetry_Int_Tables_number 160
_symmetry_space_group_name_Hall 'R 3 -2"'
_cell_length_a 3.7372
_cell_length_b 3.7372
_cell_length_c 22.3651
_cell_angle_alpha 90.00
_cell_angle_beta 90.00
_cell_angle_gamma 120.00
loop_
_atom_site_label
_atom_site_type_symbol
_atom_site_fract_x
_atom_site_fract_y
_atom_site_fract_z
_atom_site_occupancy
Ni1 Ni 0.0000 0.0000 0.0000 1
Rh1 Rh 0.0000 0.0000 0.2772 1
Br1 Br 0.0000 0.0000 0.5519 1
Br2 Br 0.0000 0.0000 0.7187 1
```

Model iv:
The following is a PBE-GGA calculation of a relaxed NiRhBr2 crystal, from the Alexandria database.

Results
Fermi-level density of states: 5.2 states/eV/f.u.
Calculated volume: 69.1 Å³ per cell

Structure (CIF):
```
data_NiRhBr2
_chemical_formula_sum 'Ni1 Rh1 Br2'
_symmetry_space_group_name_H-M 'P 4/m m m'
_symmetry_Int_Tables_number 123
_symmetry_space_group_name_Hall '-P 4 2'
_cell_length_a 4.610
_cell_length_b 4.610
_cell_length_c 3.250
_cell_angle_alpha 90.00
_cell_angle_beta 90.00
_cell_angle_gamma 90.00
loop_
_atom_site_label
_atom_site_type_symbol
_atom_site_fract_x
_atom_site_fract_y
_atom_site_fract_z
_atom_site_occupancy
Ni1 Ni 0.000 0.000 0.000 1
Rh1 Rh 0.500 0.500 0.000 1
Br1 Br 0.000 0.500 0.500 1
```

model iii wins, 25.3 kJ/mol of atoms ahead of the next structure.

Model i:
The following is a PBE-GGA calculation of a relaxed NiRhBr2 crystal, from the Alexandria database.

Results
Fermi-level density of states: 2.7 states/eV/f.u.
Calculated volume: 90.9 Å³ per cell

Structure (CIF):
```
data_NiRhBr2
_chemical_formula_sum 'Ni1 Rh1 Br2'
_symmetry_space_group_name_H-M 'P 1 2/m 1'
_symmetry_Int_Tables_number 10
_cell_length_a 4.880
_cell_length_b 3.507
_cell_length_c 5.314
_cell_angle_alpha 90.00
_cell_angle_beta 90.07
_cell_angle_gamma 90.00
loop_
_symmetry_equiv_pos_as_xyz
'x,y,z'
'-x,-y,-z'
'-x,y,-z'
'x,-y,z'
loop_
_atom_site_label
_atom_site_type_symbol
_atom_site_fract_x
_atom_site_fract_y
_atom_site_fract_z
_atom_site_occupancy
Ni1 Ni 0.000 0.000 0.000 1
Rh1 Rh 0.000 0.000 0.500 1
Br1 Br 0.246 0.500 0.753 1
```

Model ii:
The following is a PBE-GGA calculation of a relaxed NiRhBr2 crystal, from the Alexandria database.

Results
Fermi-level density of states: 7.9 states/eV/f.u.
Calculated volume: 300.0 Å³ per cell

Structure (CIF):
```
data_NiRhBr2
_chemical_formula_sum 'Ni4 Rh4 Br8'
_symmetry_space_group_name_H-M 'F -4 3 m'
_symmetry_Int_Tables_number 216
_symmetry_space_group_name_Hall 'F -4 2 3'
_cell_length_a 6.695
_cell_length_b 6.695
_cell_length_c 6.695
_cell_angle_alpha 90.00
_cell_angle_beta 90.00
_cell_angle_gamma 90.00
loop_
_atom_site_label
_atom_site_type_symbol
_atom_site_fract_x
_atom_site_fract_y
_atom_site_fract_z
_atom_site_occupancy
Ni1 Ni 0.000 0.000 0.000 1
Rh1 Rh 0.250 0.250 0.250 1
Br1 Br 0.000 0.000 0.500 1
Br2 Br 0.250 0.250 0.750 1
```

model i wins, 66.3 kJ/mol of atoms ahead of the next structure.

Model i:
The following is a PBE-GGA calculation of a relaxed NiRh2Br2 crystal, from the Alexandria database.

Results
Fermi-level density of states: 3.4 states/eV/f.u.
Calculated volume: 171.2 Å³ per cell

Structure (CIF):
```
data_NiRh2Br2
_chemical_formula_sum 'Ni2 Rh4 Br4'
_symmetry_space_group_name_H-M 'P 4/m b m'
_symmetry_Int_Tables_number 127
_symmetry_space_group_name_Hall '-P 4 2ab'
_cell_length_a 6.695
_cell_length_b 6.695
_cell_length_c 3.819
_cell_angle_alpha 90.00
_cell_angle_beta 90.00
_cell_angle_gamma 90.00
loop_
_atom_site_label
_atom_site_type_symbol
_atom_site_fract_x
_atom_site_fract_y
_atom_site_fract_z
_atom_site_occupancy
Ni1 Ni 0.000 0.000 0.000 1
Rh1 Rh 0.148 0.352 0.500 1
Br1 Br 0.172 0.672 0.000 1
```

Model ii:
The following is a PBE-GGA calculation of a relaxed NiRh2Br2 crystal, from the Alexandria database.

Results
Fermi-level density of states: 7.3 states/eV/f.u.
Calculated volume: 190.2 Å³ per cell

Structure (CIF):
```
data_NiRh2Br2
_chemical_formula_sum 'Ni2 Rh4 Br4'
_symmetry_space_group_name_H-M 'I 4/m m m'
_symmetry_Int_Tables_number 139
_symmetry_space_group_name_Hall '-I 4 2'
_cell_length_a 5.063
_cell_length_b 5.063
_cell_length_c 7.419
_cell_angle_alpha 90.00
_cell_angle_beta 90.00
_cell_angle_gamma 90.00
loop_
_atom_site_label
_atom_site_type_symbol
_atom_site_fract_x
_atom_site_fract_y
_atom_site_fract_z
_atom_site_occupancy
Ni1 Ni 0.000 0.000 0.000 1
Rh1 Rh 0.000 0.500 0.250 1
Br1 Br 0.000 0.000 0.299 1
```

model ii wins, 7.6 kJ/mol of atoms ahead of the next structure.

Model i:
The following is a PBE-GGA calculation of a relaxed NiRhBr3 crystal, from the Alexandria database.

Results
Fermi-level density of states: 18.9 states/eV/f.u.
Calculated volume: 128.9 Å³ per cell

Structure (CIF):
```
data_NiRhBr3
_chemical_formula_sum 'Ni1 Rh1 Br3'
_symmetry_space_group_name_H-M 'P m -3 m'
_symmetry_Int_Tables_number 221
_symmetry_space_group_name_Hall '-P 4 2 3'
_cell_length_a 5.051
_cell_length_b 5.051
_cell_length_c 5.051
_cell_angle_alpha 90.00
_cell_angle_beta 90.00
_cell_angle_gamma 90.00
loop_
_atom_site_label
_atom_site_type_symbol
_atom_site_fract_x
_atom_site_fract_y
_atom_site_fract_z
_atom_site_occupancy
Ni1 Ni 0.000 0.000 0.000 1
Rh1 Rh 0.500 0.500 0.500 1
Br1 Br 0.000 0.500 0.500 1
```

Model ii:
The following is a PBE-GGA calculation of a relaxed NiRhBr3 crystal, from the Alexandria database.

Results
Fermi-level density of states: 13.3 states/eV/f.u.
Calculated volume: 116.4 Å³ per cell

Structure (CIF):
```
data_NiRhBr3
_chemical_formula_sum 'Ni1 Rh1 Br3'
_symmetry_space_group_name_H-M 'P m -3 m'
_symmetry_Int_Tables_number 221
_symmetry_space_group_name_Hall '-P 4 2 3'
_cell_length_a 4.882
_cell_length_b 4.882
_cell_length_c 4.882
_cell_angle_alpha 90.00
_cell_angle_beta 90.00
_cell_angle_gamma 90.00
loop_
_atom_site_label
_atom_site_type_symbol
_atom_site_fract_x
_atom_site_fract_y
_atom_site_fract_z
_atom_site_occupancy
Ni1 Ni 0.000 0.000 0.000 1
Rh1 Rh 0.500 0.500 0.500 1
Br1 Br 0.000 0.000 0.500 1
```

model i wins, 7.0 kJ/mol of atoms ahead of the next structure.

Model i:
The following is a PBE-GGA calculation of a relaxed NiRhSe2Br crystal, from the Alexandria database.

Results
Fermi-level density of states: 11.3 states/eV/f.u.
Calculated volume: 119.9 Å³ per cell

Structure (CIF):
```
data_NiRhSe2Br
_chemical_formula_sum 'Ni1 Rh1 Se2 Br1'
_symmetry_space_group_name_H-M 'P 4/m m m'
_symmetry_Int_Tables_number 123
_symmetry_space_group_name_Hall '-P 4 2'
_cell_length_a 4.847
_cell_length_b 4.847
_cell_length_c 5.104
_cell_angle_alpha 90.00
_cell_angle_beta 90.00
_cell_angle_gamma 90.00
loop_
_atom_site_label
_atom_site_type_symbol
_atom_site_fract_x
_atom_site_fract_y
_atom_site_fract_z
_atom_site_occupancy
Ni1 Ni 0.000 0.000 0.000 1
Rh1 Rh 0.500 0.500 0.500 1
Se1 Se 0.000 0.500 0.500 1
Br1 Br 0.500 0.500 0.000 1
```

Model ii:
The following is a PBE-GGA calculation of a relaxed NiRhSe2Br crystal, from the Alexandria database.

Results
Fermi-level density of states: 7.1 states/eV/f.u.
Calculated volume: 104.6 Å³ per cell

Structure (CIF):
```
data_NiRhSe2Br
_chemical_formula_sum 'Ni1 Rh1 Se2 Br1'
_symmetry_space_group_name_H-M 'P 4/m m m'
_symmetry_Int_Tables_number 123
_symmetry_space_group_name_Hall '-P 4 2'
_cell_length_a 4.656
_cell_length_b 4.656
_cell_length_c 4.825
_cell_angle_alpha 90.00
_cell_angle_beta 90.00
_cell_angle_gamma 90.00
loop_
_atom_site_label
_atom_site_type_symbol
_atom_site_fract_x
_atom_site_fract_y
_atom_site_fract_z
_atom_site_occupancy
Ni1 Ni 0.000 0.000 0.000 1
Rh1 Rh 0.500 0.500 0.500 1
Se1 Se 0.000 0.500 0.000 1
Br1 Br 0.000 0.000 0.500 1
```

model ii wins, 3.1 kJ/mol of atoms ahead of the next structure.

Model i:
The following is a PBE-GGA calculation of a relaxed Ni3RuBr crystal, from the Alexandria database.

Results
Fermi-level density of states: 4.9 states/eV/f.u.
Calculated volume: 79.7 Å³ per cell

Structure (CIF):
```
data_Ni3RuBr
_chemical_formula_sum 'Ni3 Ru1 Br1'
_symmetry_space_group_name_H-M 'P m -3 m'
_symmetry_Int_Tables_number 221
_symmetry_space_group_name_Hall '-P 4 2 3'
_cell_length_a 4.304
_cell_length_b 4.304
_cell_length_c 4.304
_cell_angle_alpha 90.00
_cell_angle_beta 90.00
_cell_angle_gamma 90.00
loop_
_atom_site_label
_atom_site_type_symbol
_atom_site_fract_x
_atom_site_fract_y
_atom_site_fract_z
_atom_site_occupancy
Ni1 Ni 0.000 0.000 0.500 1
Ru1 Ru 0.500 0.500 0.500 1
Br1 Br 0.000 0.000 0.000 1
```

Model ii:
The following is a PBE-GGA calculation of a relaxed Ni3RuBr crystal, from the Alexandria database.

Results
Fermi-level density of states: 8.9 states/eV/f.u.
Calculated volume: 93.8 Å³ per cell

Structure (CIF):
```
data_Ni3RuBr
_chemical_formula_sum 'Ni3 Ru1 Br1'
_symmetry_space_group_name_H-M 'P m -3 m'
_symmetry_Int_Tables_number 221
_symmetry_space_group_name_Hall '-P 4 2 3'
_cell_length_a 4.544
_cell_length_b 4.544
_cell_length_c 4.544
_cell_angle_alpha 90.00
_cell_angle_beta 90.00
_cell_angle_gamma 90.00
loop_
_atom_site_label
_atom_site_type_symbol
_atom_site_fract_x
_atom_site_fract_y
_atom_site_fract_z
_atom_site_occupancy
Ni1 Ni 0.000 0.000 0.500 1
Ru1 Ru 0.000 0.000 0.000 1
Br1 Br 0.500 0.500 0.500 1
```

model i wins, 9.0 kJ/mol of atoms ahead of the next structure.